Record 1
DFT (PBE) results for a relaxed structure of Y3Sc4Sb4.

The density is 5.4 g/cm3. As for the crystal system: orthorhombic. The formation energy (no corrections) comes out at -8.95 eV per formula unit.

The space group is Immm (No. 71) and the conventional cell measures 4.155, 8.897 and 15.534 Å, with angles of 90.00, 90.00 and 90.00 degrees. The inequivalent atoms are Y at (0.000, 0.000, 0.000), Y at (0.000, 0.500, 0.114), Sc at (0.000, 0.299, 0.323), Sb at (0.000, 0.000, 0.233) and Sb at (0.000, 0.212, 0.500).

=====

Record 2
DFT (PBE) results for a relaxed structure of TiNb2Ni2.

The density is 7.5 g/cm3. As for the crystal system: tetragonal. The calculation puts the total energy at -78.8 eV for the cell shown.

The space group is P4/mbm (No. 127) and the conventional cell measures 7.428, 7.428 and 2.810 Å, with angles of 90.00, 90.00 and 90.00 degrees. The inequivalent atoms are Ti at (0.000, 0.000, 0.000), Nb at (0.167, 0.333, 0.000) and Ni at (0.127, 0.627, 0.500).

=====

Record 3
DFT (PBE) results for a relaxed structure of BeSi2H.

The density is 2.0 g/cm3. As for the crystal system: monoclinic. The calculation puts the total energy at -68.6 eV for the cell shown.

The space group is Cm (No. 8) and the conventional cell measures 13.835, 3.962 and 3.982 Å, with angles of 90.00, 91.53 and 90.00 degrees. The inequivalent atoms are Be at (0.000, 0.249, 0.000), Si at (0.061, 0.000, 0.503), Si at (0.165, 0.500, 0.497), Si at (0.261, 0.500, 0.008), Si at (0.353, 0.000, 0.115), H at (0.072, 0.500, 0.989) and H at (0.354, 0.000, 0.497).

=====

Record 4
DFT (PBE) results for a relaxed structure of Cr2SbHRu.

The density is 8.7 g/cm3. As for the crystal system: tetragonal. The calculation puts the total energy at -35.5 eV for the cell shown.

The space group is P4/mmm (No. 123) and the conventional cell measures 3.981, 3.981 and 3.959 Å, with angles of 90.00, 90.00 and 90.00 degrees. The inequivalent atoms are Cr at (0.000, 0.500, 0.000), Sb at (0.000, 0.000, 0.500), H at (0.500, 0.500, 0.000) and Ru at (0.500, 0.500, 0.500).

=====

Record 5
DFT (PBE) results for a relaxed structure of SrAcSm.

The density is 5.9 g/cm3. As for the crystal system: tetragonal. The calculation puts the total energy at -20.7 eV for the cell shown.

The space group is P4/nmm (No. 129, origin choice 2) and the conventional cell measures 3.927, 3.927 and 16.879 Å, with angles of 90.00, 90.00 and 90.00 degrees. The inequivalent atoms are Sr at (0.250, 0.250, 0.097), Ac at (0.250, 0.250, 0.720) and Sm at (0.250, 0.250, 0.429).

=====

Record 6
DFT (PBE) results for a relaxed structure of La8AlCu2.

The density is 6.2 g/cm3. As for the crystal system: monoclinic. The calculation puts the total energy at -104.5 eV for the cell shown.

The space group is C2/m (No. 12) and the conventional cell measures 16.684, 5.402 and 8.638 Å, with angles of 90.00, 120.02 and 90.00 degrees. The inequivalent atoms are La at (0.071, 0.000, 0.225), La at (0.106, 0.500, 0.953), La at (0.141, 0.000, 0.710), La at (0.185, 0.500, 0.478), Al at (0.000, 0.500, 0.500) and Cu at (0.219, 0.000, 0.113).